VASP calculation (PBE-GGA) on TiSnP2 after structural relaxation.

abc: 7.2708 7.2708 7.2708
angles: 28.43 28.43 28.43
Positions (direct):
Ti  0.0000  0.0000  0.0000
Sn  0.8366  0.8366  0.8366
P  0.4004  0.4004  0.4004
P  0.5947  0.5947  0.5947

Summary:
energy of formation from the pure elements: -0.383 eV/atom
total moment: 0.000 μB per formula unit
density of states at the Fermi level: 0.4600 states/eV per atom
calculated total energy: -6.06 eV per atom
space-group type: R3m (160)
crystal system: trigonal